Entry 1:
# VIn2CuSb (PBE-GGA, optimized geometry)
# energy relative to the elements, uncorrected	533	kJ/mol of formula units
data_VIn2CuSb
_space_group_name_H-M_alt 'P 4/m m m'
_space_group_IT_number 123
_space_group_name_Hall '-P 4 2'
_cell_length_a 5.768
_cell_length_b 5.768
_cell_length_c 5.137
_cell_angle_alpha 90.00
_cell_angle_beta 90.00
_cell_angle_gamma 90.00
loop_
_atom_site_label
_atom_site_type_symbol
_atom_site_fract_x
_atom_site_fract_y
_atom_site_fract_z
V1 V 0.000 0.000 0.000
In1 In 0.000 0.500 0.500
Cu1 Cu 0.500 0.500 0.000
Sb1 Sb 0.000 0.000 0.500

=====

Entry 2:
# InCuSbW2 (PBE-GGA, optimized geometry)
# energy relative to the elements, uncorrected	894	kJ/mol of formula units
data_InCuSbW2
_space_group_name_H-M_alt 'P 4/m m m'
_space_group_IT_number 123
_space_group_name_Hall '-P 4 2'
_cell_length_a 5.016
_cell_length_b 5.016
_cell_length_c 4.612
_cell_angle_alpha 90.00
_cell_angle_beta 90.00
_cell_angle_gamma 90.00
loop_
_atom_site_label
_atom_site_type_symbol
_atom_site_fract_x
_atom_site_fract_y
_atom_site_fract_z
In1 In 0.000 0.000 0.000
Cu1 Cu 0.500 0.500 0.000
Sb1 Sb 0.500 0.500 0.500
W1 W 0.000 0.500 0.500

=====

Entry 3:
# Sc3InCu8 (PBE-GGA, optimized geometry)
# energy relative to the elements	-2.85	eV per formula unit
data_Sc3InCu8
_space_group_name_H-M_alt 'P 3 m 1'
_space_group_IT_number 156
_cell_length_a 5.0473
_cell_length_b 5.0473
_cell_length_c 8.2096
_cell_angle_alpha 90.00
_cell_angle_beta 90.00
_cell_angle_gamma 120.00
loop_
_space_group_symop_operation_xyz
'x,y,z'
'-y,x-y,z'
'-x+y,-x,z'
'-y,-x,z'
'-x+y,y,z'
'x,x-y,z'
loop_
_atom_site_label
_atom_site_type_symbol
_atom_site_fract_x
_atom_site_fract_y
_atom_site_fract_z
Sc1 Sc 0.0000 0.0000 0.0000
Sc2 Sc 0.0000 0.0000 0.3787
Sc3 Sc 0.3333 0.6667 0.8647
In1 In 0.3333 0.6667 0.4897
Cu1 Cu 0.0043 0.5022 0.1824
Cu2 Cu 0.3298 0.1649 0.6893
Cu3 Cu 0.6667 0.3333 0.4360
Cu4 Cu 0.6667 0.3333 0.9385

=====

Entry 4:
# ScInCu (PBE-GGA, optimized geometry)
# energy relative to the elements	-0.69	eV per formula unit
data_ScInCu
_space_group_name_H-M_alt 'I 4 m m'
_space_group_IT_number 107
_space_group_name_Hall 'I 4 -2'
_cell_length_a 3.232
_cell_length_b 3.232
_cell_length_c 10.925
_cell_angle_alpha 90.00
_cell_angle_beta 90.00
_cell_angle_gamma 90.00
loop_
_atom_site_label
_atom_site_type_symbol
_atom_site_fract_x
_atom_site_fract_y
_atom_site_fract_z
Sc1 Sc 0.000 0.000 0.000
In1 In 0.000 0.000 0.301
Cu1 Cu 0.000 0.000 0.651

=====

Entry 5:
# Sc12InCu6 (PBE-GGA, optimized geometry)
# energy relative to the elements	-4.04	eV per formula unit
data_Sc12InCu6
_space_group_name_H-M_alt 'I m -3'
_space_group_IT_number 204
_space_group_name_Hall '-I 2 2 3'
_cell_length_a 9.187
_cell_length_b 9.187
_cell_length_c 9.187
_cell_angle_alpha 90.00
_cell_angle_beta 90.00
_cell_angle_gamma 90.00
loop_
_atom_site_label
_atom_site_type_symbol
_atom_site_fract_x
_atom_site_fract_y
_atom_site_fract_z
Sc1 Sc 0.000 0.190 0.292
In1 In 0.000 0.000 0.000
Cu1 Cu 0.000 0.370 0.500

=====

Entry 6:
# ScIn4Cu (PBE-GGA, optimized geometry)
# energy relative to the elements	1.62	eV per formula unit
data_ScIn4Cu
_space_group_name_H-M_alt 'F -4 3 m'
_space_group_IT_number 216
_space_group_name_Hall 'F -4 2 3'
_cell_length_a 8.353
_cell_length_b 8.353
_cell_length_c 8.353
_cell_angle_alpha 90.00
_cell_angle_beta 90.00
_cell_angle_gamma 90.00
loop_
_atom_site_label
_atom_site_type_symbol
_atom_site_fract_x
_atom_site_fract_y
_atom_site_fract_z
Sc1 Sc 0.000 0.000 0.000
In1 In 0.125 0.125 0.375
Cu1 Cu 0.250 0.250 0.750

=====

Entry 7:
# ScInCu3 (PBE-GGA, optimized geometry)
# energy relative to the elements	3.01	eV per formula unit
data_ScInCu3
_space_group_name_H-M_alt 'P m -3 m'
_space_group_IT_number 221
_space_group_name_Hall '-P 4 2 3'
_cell_length_a 4.731
_cell_length_b 4.731
_cell_length_c 4.731
_cell_angle_alpha 90.00
_cell_angle_beta 90.00
_cell_angle_gamma 90.00
loop_
_atom_site_label
_atom_site_type_symbol
_atom_site_fract_x
_atom_site_fract_y
_atom_site_fract_z
Sc1 Sc 0.000 0.000 0.000
In1 In 0.500 0.500 0.500
Cu1 Cu 0.000 0.500 0.500

=====

Entry 8:
# ScIn2Cu2 (PBE-GGA, optimized geometry)
# energy relative to the elements	-0.51	eV per formula unit
data_ScIn2Cu2
_space_group_name_H-M_alt 'P 4/m b m'
_space_group_IT_number 127
_space_group_name_Hall '-P 4 2ab'
_cell_length_a 7.328
_cell_length_b 7.328
_cell_length_c 3.504
_cell_angle_alpha 90.00
_cell_angle_beta 90.00
_cell_angle_gamma 90.00
loop_
_atom_site_label
_atom_site_type_symbol
_atom_site_fract_x
_atom_site_fract_y
_atom_site_fract_z
Sc1 Sc 0.000 0.000 0.000
In1 In 0.180 0.320 0.500
Cu1 Cu 0.119 0.619 0.000

=====

Entry 9:
# Sc2InCu4 (PBE-GGA, optimized geometry)
# energy relative to the elements	-0.88	eV per formula unit
data_Sc2InCu4
_space_group_name_H-M_alt 'R -3 m'
_space_group_IT_number 166
_space_group_name_Hall '-R 3 2"'
_cell_length_a 4.5332
_cell_length_b 4.5332
_cell_length_c 19.4707
_cell_angle_alpha 90.00
_cell_angle_beta 90.00
_cell_angle_gamma 120.00
loop_
_atom_site_label
_atom_site_type_symbol
_atom_site_fract_x
_atom_site_fract_y
_atom_site_fract_z
Sc1 Sc 0.0000 0.0000 0.2291
In1 In 0.0000 0.0000 0.5000
Cu1 Cu 0.0000 0.0000 0.0626
Cu2 Cu 0.0000 0.0000 0.3626

=====

Entry 10:
# ScInCu (PBE-GGA, optimized geometry)
# energy relative to the elements	-0.18	eV per formula unit
data_ScInCu
_space_group_name_H-M_alt 'P 3 m 1'
_space_group_IT_number 156
_cell_length_a 3.4254
_cell_length_b 3.4254
_cell_length_c 6.1880
_cell_angle_alpha 90.00
_cell_angle_beta 90.00
_cell_angle_gamma 120.00
loop_
_space_group_symop_operation_xyz
'x,y,z'
'-y,x-y,z'
'-x+y,-x,z'
'-y,-x,z'
'-x+y,y,z'
'x,x-y,z'
loop_
_atom_site_label
_atom_site_type_symbol
_atom_site_fract_x
_atom_site_fract_y
_atom_site_fract_z
Sc1 Sc 0.0000 0.0000 0.0000
In1 In 0.3333 0.6667 0.6008
Cu1 Cu 0.6667 0.3333 0.2910

=====

Entry 11:
# Sc5InCu (PBE-GGA, optimized geometry)
# energy relative to the elements	-0.10	eV per formula unit
data_Sc5InCu
_space_group_name_H-M_alt 'C 1 2/c 1'
_space_group_IT_number 15
_cell_length_a 10.263
_cell_length_b 6.231
_cell_length_c 10.577
_cell_angle_alpha 90.00
_cell_angle_beta 105.87
_cell_angle_gamma 90.00
loop_
_space_group_symop_operation_xyz
'x,y,z'
'-x,-y,-z'
'-x,y,-z+1/2'
'x,-y,z+1/2'
'x+1/2,y+1/2,z'
'-x+1/2,-y+1/2,-z'
'-x+1/2,y+1/2,-z+1/2'
'x+1/2,-y+1/2,z+1/2'
loop_
_atom_site_label
_atom_site_type_symbol
_atom_site_fract_x
_atom_site_fract_y
_atom_site_fract_z
Sc1 Sc 0.000 0.061 0.250
Sc2 Sc 0.135 0.355 0.054
Sc3 Sc 0.228 0.162 0.644
In1 In 0.000 0.427 0.750
Cu1 Cu 0.000 0.000 0.000

=====

Entry 12:
# Sc3InCu (PBE-GGA, optimized geometry)
# energy relative to the elements	0.03	eV per formula unit
data_Sc3InCu
_space_group_name_H-M_alt 'P m -3 m'
_space_group_IT_number 221
_space_group_name_Hall '-P 4 2 3'
_cell_length_a 4.947
_cell_length_b 4.947
_cell_length_c 4.947
_cell_angle_alpha 90.00
_cell_angle_beta 90.00
_cell_angle_gamma 90.00
loop_
_atom_site_label
_atom_site_type_symbol
_atom_site_fract_x
_atom_site_fract_y
_atom_site_fract_z
Sc1 Sc 0.000 0.000 0.500
In1 In 0.500 0.500 0.500
Cu1 Cu 0.000 0.000 0.000